Entry 1:
The following is a GGA-PBE calculation of a relaxed SiHgBr2 crystal, from Alexandria via LeMat-Bulk.

Lattice parameters (Å, degrees): 3.7352 6.4475 4.4638 90.00 90.00 90.00
Fractional positions:
Br: 0.0000 0.0000 0.0000
Br: 0.5000 0.5000 0.0000
Hg: 0.5000 0.0000 0.5000
Si: 0.0000 0.5000 0.5000

Calculated values
As for the electronic total energy: -0.073 hartree per atom. Its space group is Pmmm. As for the offset from the most stable computed form: 0.523 eV/atom. The calculation puts the uncorrected formation energy at 27.9 kJ per mole of atoms.

---

Entry 2:
The following is a GGA-PBE calculation of a relaxed NaNdDy4S8 crystal, from Alexandria via LeMat-Bulk.

Lattice parameters (Å, degrees): 8.1100 8.1100 8.1989 60.36 60.36 60.00
Fractional positions:
Na: 0.3733 0.3733 0.8801
Nd: 0.0040 0.0040 0.9881
Dy: 0.6258 0.6258 0.1226
Dy: 0.0045 0.4868 0.5042
Dy: 0.4868 0.0045 0.5042
Dy: 0.0045 0.0045 0.5042
S: 0.2440 0.7819 0.7301
S: 0.7819 0.2440 0.7301
S: 0.2440 0.2440 0.7301
S: 0.2382 0.2382 0.2855
S: 0.7530 0.2291 0.2649
S: 0.2291 0.7530 0.2649
S: 0.7530 0.7530 0.2649
S: 0.7580 0.7580 0.7259

Calculated values
As for the electronic total energy: -0.222 hartree per atom. Its space group is R3m. The calculation puts the uncorrected formation energy at -187.6 kJ per mole of atoms.

---

Entry 3:
The following is a GGA-PBE calculation of a relaxed Pr6Dy2Tm3Sc crystal, from Alexandria via LeMat-Bulk.

Lattice parameters (Å, degrees): 6.2490 6.2490 11.7402 95.09 95.09 119.99
Fractional positions:
Pr: 0.9175 0.5870 0.7511
Pr: 0.7518 0.7518 0.2492
Pr: 0.0825 0.4130 0.2489
Pr: 0.5870 0.9175 0.7511
Pr: 0.2482 0.2482 0.7508
Pr: 0.4130 0.0825 0.2489
Dy: 0.3333 0.6667 0.0000
Dy: 0.6667 0.3333 0.0000
Tm: 0.1667 0.8333 0.5000
Tm: 0.8333 0.1667 0.5000
Tm: 0.5000 0.5000 0.5000
Sc: 0.0000 0.0000 0.0000

Calculated values
As for the electronic total energy: -0.176 hartree per atom. Its space group is C2/m. As for the energy relative to the elements: 0.026 eV per atom.

---

Entry 4:
The following is a GGA-PBE calculation of a relaxed TiRhS2N crystal, from Alexandria via LeMat-Bulk.

Lattice parameters (Å, degrees): 4.7934 4.7934 3.6261 90.00 90.00 90.00
Fractional positions:
S: 0.0000 0.5000 0.0000
S: 0.5000 0.0000 0.0000
N: 0.0000 0.0000 0.5000
Rh: 0.0000 0.0000 0.0000
Ti: 0.5000 0.5000 0.5000

Calculated values
As for the electronic total energy: -0.222 hartree per atom. Its space group is P4/mmm. As for the offset from the most stable computed form: 0.022 eV/atom. The calculation puts the uncorrected formation energy at 31.3 kJ per mole of atoms.

---

Entry 5:
The following is a GGA-PBE calculation of a relaxed HgTeCl2 crystal, from Alexandria via LeMat-Bulk.

Lattice parameters (Å, degrees): 8.4964 8.4964 8.4964 28.90 28.90 28.90
Fractional positions:
Te: 0.7593 0.7593 0.7593
Hg: 0.4967 0.4967 0.4967
Cl: 0.0228 0.0228 0.0228
Cl: 0.2212 0.2212 0.2212

Calculated values
As for the electronic total energy: -0.069 hartree per atom. Its space group is R3m. As for the offset from the most stable computed form: 0.247 eV/atom. The calculation puts the uncorrected formation energy at -8.0 kJ per mole of atoms.

---

Entry 6:
The following is a GGA-PBE calculation of a relaxed BaTmGa2Pd2 crystal, from Alexandria via LeMat-Bulk.

Lattice parameters (Å, degrees): 4.5477 4.5477 7.8820 90.00 90.00 120.00
Fractional positions:
Ba: 0.0000 0.0000 0.0000
Tm: 0.0000 0.0000 0.5000
Ga: 0.6667 0.3333 0.6922
Ga: 0.3333 0.6667 0.3078
Pd: 0.6667 0.3333 0.3163
Pd: 0.3333 0.6667 0.6837

Calculated values
As for the electronic total energy: -0.168 hartree per atom. Its space group is P-3m1. As for the energy relative to the elements: -0.763 eV per atom.

---

Entry 7:
The following is a GGA-PBE calculation of a relaxed La2BiS5 crystal, from Alexandria via LeMat-Bulk.

Lattice parameters (Å, degrees): 5.4621 7.6758 13.5008 90.00 90.00 110.84
Fractional positions:
La: 0.8474 0.6948 0.4303
La: 0.8474 0.6948 0.0697
La: 0.1526 0.3052 0.5697
La: 0.1526 0.3052 0.9303
Bi: 0.8330 0.6659 0.7500
Bi: 0.1670 0.3341 0.2500
S: 0.9577 0.9155 0.8949
S: 0.9577 0.9155 0.6051
S: 0.2923 0.5845 0.4132
S: 0.2923 0.5845 0.0868
S: 0.7266 0.4533 0.2500
S: 0.2734 0.5467 0.7500
S: 0.7077 0.4155 0.5868
S: 0.7077 0.4155 0.9132
S: 0.0423 0.0845 0.1051
S: 0.0423 0.0845 0.3949

Calculated values
As for the electronic total energy: -0.206 hartree per atom. Its space group is Cmcm. The calculation puts the uncorrected formation energy at -125.8 kJ per mole of atoms.

---

Entry 8:
The following is a GGA-PBE calculation of a relaxed SrMnS crystal, from Alexandria via LeMat-Bulk.

Lattice parameters (Å, degrees): 4.4303 6.3805 6.8771 122.48 90.00 110.31
Fractional positions:
Sr: 0.2723 0.3828 0.0773
Sr: 0.4407 0.7197 0.7450
S: 0.9268 0.6919 0.0210
S: 0.7869 0.4120 0.3815
Mn: 0.6949 0.2282 0.6254
Mn: 0.0188 0.8757 0.4483

Calculated values
As for the electronic total energy: -0.209 hartree per atom. Its space group is Cm. As for the offset from the most stable computed form: 0.169 eV/atom. The calculation puts the uncorrected formation energy at -67.5 kJ per mole of atoms.

---

Entry 9:
The following is a GGA-PBE calculation of a relaxed NbGa2Se4 crystal, from Alexandria via LeMat-Bulk.

Lattice parameters (Å, degrees): 6.2812 6.2812 6.2812 105.86 105.86 116.97
Fractional positions:
Nb: 0.5000 0.5000 0.0000
Ga: 0.2500 0.7500 0.5000
Ga: 0.7500 0.2500 0.5000
Se: 0.3390 0.1853 0.5243
Se: 0.8147 0.3390 0.1537
Se: 0.1853 0.6610 0.8463
Se: 0.6610 0.8147 0.4757

Calculated values
As for the electronic total energy: -0.168 hartree per atom. Its space group is I4/m. The calculation puts the uncorrected formation energy at -27.8 kJ per mole of atoms.

---

Entry 10:
The following is a GGA-PBE calculation of a relaxed BeInSb2 crystal, from Alexandria via LeMat-Bulk.

Lattice parameters (Å, degrees): 6.3191 6.3191 4.8796 67.42 67.42 35.15
Fractional positions:
Sb: 0.0212 0.0212 0.0306
Sb: 0.8475 0.8475 0.7392
Be: 0.4272 0.4272 0.3769
In: 0.2041 0.2041 0.3534

Calculated values
As for the electronic total energy: -0.125 hartree per atom. Its space group is Cm. As for the offset from the most stable computed form: 0.172 eV/atom. The calculation puts the uncorrected formation energy at 25.6 kJ per mole of atoms.

---

Entry 11:
The following is a GGA-PBE calculation of a relaxed Li2AlAu2 crystal, from Alexandria via LeMat-Bulk.

Lattice parameters (Å, degrees): 7.2436 7.2436 2.9234 90.00 90.00 90.00
Fractional positions:
Au: 0.1775 0.6775 0.5000
Au: 0.6775 0.8225 0.5000
Au: 0.8225 0.3225 0.5000
Au: 0.3225 0.1775 0.5000
Al: 0.0000 0.0000 0.0000
Al: 0.5000 0.5000 0.0000
Li: 0.3800 0.8800 0.0000
Li: 0.8800 0.6200 0.0000
Li: 0.6200 0.1200 0.0000
Li: 0.1200 0.3800 0.0000

Calculated values
As for the electronic total energy: -0.117 hartree per atom. Its space group is P4/mbm. As for the offset from the most stable computed form: 0.156 eV/atom. As for the energy relative to the elements: -0.363 eV per atom.

---

Entry 12:
The following is a GGA-PBE calculation of a relaxed Sr2PbAuO5 crystal, from Alexandria via LeMat-Bulk.

Lattice parameters (Å, degrees): 3.4062 8.0234 10.5017 90.00 90.00 102.26
Fractional positions:
Sr: 0.8738 0.7476 0.8041
Sr: 0.1107 0.2213 0.6872
Sr: 0.1262 0.2524 0.3041
Sr: 0.8893 0.7787 0.1872
Pb: 0.7804 0.5607 0.5122
Pb: 0.2196 0.4393 0.0122
Au: 0.5359 0.0717 0.9561
Au: 0.4641 0.9283 0.4561
O: 0.3573 0.7146 0.0038
O: 0.7059 0.4119 0.8704
O: 0.4966 0.9932 0.7691
O: 0.2792 0.5584 0.6562
O: 0.9229 0.8458 0.5650
O: 0.6427 0.2854 0.5038
O: 0.2941 0.5881 0.3704
O: 0.5034 0.0068 0.2691
O: 0.7208 0.4416 0.1562
O: 0.0771 0.1542 0.0650

Calculated values
As for the electronic total energy: -0.197 hartree per atom. Its space group is Cmc2_1. The calculation puts the uncorrected formation energy at -140.9 kJ per mole of atoms.

---

Entry 13:
The following is a GGA-PBE calculation of a relaxed SmNbGe2Ru crystal, from Alexandria via LeMat-Bulk.

Lattice parameters (Å, degrees): 4.0973 4.0973 6.4152 108.62 108.62 90.00
Fractional positions:
Sm: 0.0000 0.0000 0.0000
Nb: 0.7500 0.2500 0.5000
Ge: 0.6114 0.6114 0.2228
Ge: 0.3886 0.3886 0.7772
Ru: 0.2500 0.7500 0.5000

Calculated values
As for the electronic total energy: -0.265 hartree per atom. Its space group is I-4m2. As for the energy relative to the elements: -0.557 eV per atom.

---

Entry 14:
The following is a GGA-PBE calculation of a relaxed PmAl4Pt6 crystal, from Alexandria via LeMat-Bulk.

Lattice parameters (Å, degrees): 6.5809 6.5809 6.5809 92.97 118.30 118.30
Fractional positions:
Pm: 0.0000 0.0000 0.0000
Al: 0.0000 0.1306 0.5370
Al: 0.5936 0.4630 0.4630
Al: 0.0000 0.5370 0.1306
Al: 0.4064 0.8694 0.8694
Pt: 0.0000 0.7747 0.4625
Pt: 0.0000 0.4625 0.7747
Pt: 0.6879 0.2253 0.2253
Pt: 0.5000 0.0000 0.5000
Pt: 0.3121 0.5375 0.5375
Pt: 0.5000 0.5000 0.0000

Calculated values
As for the electronic total energy: -0.213 hartree per atom. Its space group is I-42m. As for the energy relative to the elements: -0.707 eV per atom.

---

Entry 15:
The following is a GGA-PBE calculation of a relaxed Tb6SmY3Sc2 crystal, from Alexandria via LeMat-Bulk.

Lattice parameters (Å, degrees): 6.0994 6.0994 11.6450 94.99 94.99 119.95
Fractional positions:
Tb: 0.9176 0.5815 0.7553
Tb: 0.7461 0.7461 0.2447
Tb: 0.0824 0.4185 0.2447
Tb: 0.5815 0.9176 0.7553
Tb: 0.2539 0.2539 0.7553
Tb: 0.4185 0.0824 0.2447
Sm: 0.0000 0.0000 0.0000
Y: 0.1671 0.8329 0.5000
Y: 0.8329 0.1671 0.5000
Y: 0.5000 0.5000 0.5000
Sc: 0.3335 0.6665 0.0000
Sc: 0.6665 0.3335 0.0000

Calculated values
As for the electronic total energy: -0.196 hartree per atom. Its space group is C2/m. As for the energy relative to the elements: 0.038 eV per atom.

---

Entry 16:
The following is a GGA-PBE calculation of a relaxed EuTmLuSc crystal, from Alexandria via LeMat-Bulk.

Lattice parameters (Å, degrees): 5.5504 5.5504 5.5504 60.00 60.00 60.00
Fractional positions:
Eu: 0.5000 0.5000 0.5000
Sc: 0.0000 0.0000 0.0000
Lu: 0.2500 0.2500 0.2500
Tm: 0.7500 0.7500 0.7500

Calculated values
As for the electronic total energy: -0.228 hartree per atom. Its space group is F-43m. As for the energy relative to the elements: 0.187 eV per atom.

---

Entry 17:
The following is a GGA-PBE calculation of a relaxed Sr2SmAgS4 crystal, from Alexandria via LeMat-Bulk.

Lattice parameters (Å, degrees): 4.1678 7.1787 7.1615 110.08 90.00 90.00
Fractional positions:
Sr: 0.5000 0.0000 0.5000
Sr: 0.0000 0.5000 0.5000
Sm: 0.5000 0.5000 0.0000
Ag: 0.0000 0.0000 0.0000
S: 0.5000 0.2512 0.2326
S: 0.5000 0.7488 0.7674
S: 0.0000 0.2648 0.7624
S: 0.0000 0.7352 0.2376

Calculated values
As for the electronic total energy: -0.187 hartree per atom. Its space group is P2/m. The calculation puts the uncorrected formation energy at -160.6 kJ per mole of atoms.

---

Entry 18:
The following is a GGA-PBE calculation of a relaxed Np2P2Rh5 crystal, from Alexandria via LeMat-Bulk.

Lattice parameters (Å, degrees): 4.0392 4.0392 8.8859 90.00 90.00 90.00
Fractional positions:
Np: 0.0000 0.0000 0.0000
Np: 0.0000 0.0000 0.5000
P: 0.5000 0.5000 0.1266
P: 0.5000 0.5000 0.8734
Rh: 0.5000 0.0000 0.2656
Rh: 0.5000 0.0000 0.7344
Rh: 0.0000 0.5000 0.2656
Rh: 0.0000 0.5000 0.7344
Rh: 0.5000 0.5000 0.5000

Calculated values
As for the electronic total energy: -0.324 hartree per atom. Its space group is P4/mmm. As for the energy relative to the elements: -0.656 eV per atom.

---

Entry 19:
The following is a GGA-PBE calculation of a relaxed CsSrSc3 crystal, from Alexandria via LeMat-Bulk.

Lattice parameters (Å, degrees): 5.8817 5.8817 5.8817 90.00 90.00 90.00
Fractional positions:
Cs: 0.5000 0.5000 0.5000
Sr: 0.0000 0.0000 0.0000
Sc: 0.0000 0.5000 0.0000
Sc: 0.0000 0.0000 0.5000
Sc: 0.5000 0.0000 0.0000

Calculated values
As for the electronic total energy: -0.112 hartree per atom. Its space group is Pm-3m. As for the offset from the most stable computed form: 0.167 eV/atom. As for the energy relative to the elements: 1.267 eV per atom.

---

Entry 20:
The following is a GGA-PBE calculation of a relaxed Cr2FeTc crystal, from Alexandria via LeMat-Bulk.

Lattice parameters (Å, degrees): 4.1338 2.5104 4.8562 80.37 90.00 90.00
Fractional positions:
Cr: 0.0000 0.9833 0.0111
Cr: 0.0000 0.5167 0.4889
Fe: 0.5000 0.2500 0.2500
Tc: 0.5000 0.7500 0.7500

Calculated values
As for the electronic total energy: -0.346 hartree per atom. Its space group is P2/m. As for the offset from the most stable computed form: 0.010 eV/atom. As for the energy relative to the elements: 0.109 eV per atom.

---

Entry 21:
The following is a GGA-PBE calculation of a relaxed SrLaAsBr2 crystal, from Alexandria via LeMat-Bulk.

Lattice parameters (Å, degrees): 5.7309 5.7309 5.9344 90.00 90.00 90.00
Fractional positions:
Sr: 0.5000 0.5000 0.5000
As: 0.0000 0.0000 0.5000
Br: 0.0000 0.5000 0.0000
Br: 0.5000 0.0000 0.0000
La: 0.0000 0.0000 0.0000

Calculated values
As for the electronic total energy: -0.153 hartree per atom. Its space group is P4/mmm. As for the offset from the most stable computed form: 0.000 eV/atom. The calculation puts the uncorrected formation energy at -120.8 kJ per mole of atoms.

---

Entry 22:
The following is a GGA-PBE calculation of a relaxed TaFeS2 crystal, from Alexandria via LeMat-Bulk.

Lattice parameters (Å, degrees): 4.2725 4.2725 4.2725 60.00 60.00 60.00
Fractional positions:
S: 0.2500 0.2500 0.2500
S: 0.7500 0.7500 0.7500
Fe: 0.0000 0.0000 0.0000
Ta: 0.5000 0.5000 0.5000

Calculated values
As for the electronic total energy: -0.270 hartree per atom. Its space group is Fm-3m. As for the offset from the most stable computed form: 0.197 eV/atom. The calculation puts the uncorrected formation energy at -19.9 kJ per mole of atoms.

---

Entry 23:
The following is a GGA-PBE calculation of a relaxed SrPPtO6 crystal, from Alexandria via LeMat-Bulk.

Lattice parameters (Å, degrees): 5.0011 5.0011 5.3854 90.00 90.00 60.00
Fractional positions:
Sr: 0.0000 0.0000 0.0000
P: 0.3333 0.3333 0.5000
Pt: 0.6666 0.6667 0.5000
O: 0.0425 0.3548 0.3137
O: 0.3547 0.0425 0.6862
O: 0.6027 0.3548 0.6863
O: 0.0424 0.6028 0.6862
O: 0.3548 0.6027 0.3137
O: 0.6028 0.0424 0.3138

Calculated values
As for the electronic total energy: -0.237 hartree per atom. Its space group is P312. The calculation puts the uncorrected formation energy at -161.4 kJ per mole of atoms.